<A>
Computed, not measured: PrTmNO after structural relaxation at the GGA-PBE level of DFT.

a = 6.760 Å, b = 8.255 Å, c = 5.103 Å
α = 90.00°, β = 90.00°, γ = 90.00°
Space group Pca2_1 (No. 29)
One atom of each set of equivalent atoms:
Pr 0.077 0.131 0.000 [4 per cell]
Tm 0.077 0.619 0.999 [4 per cell]
N 0.058 0.141 0.499 [4 per cell]
O 0.100 0.609 0.505 [4 per cell]

Results
Calculated density = 7.9 Mg/m³
Crystal system = orthorhombic

***

<B>
Computed, not measured: PrTmNO after structural relaxation at the GGA-PBE level of DFT.

a = 4.006 Å, b = 7.080 Å, c = 5.036 Å
α = 90.00°, β = 90.00°, γ = 90.00°
Space group Pmc2_1 (No. 26)
One atom of each set of equivalent atoms:
Pr 0.000 0.156 0.000 [2 per cell]
Tm 0.500 0.331 0.504 [2 per cell]
N 0.000 0.191 0.500 [2 per cell]
O 0.500 0.359 0.991 [2 per cell]

Results
Calculated density = 7.9 Mg/m³
Crystal system = orthorhombic

***

Which structure wins on stability? <B> wins.